(1)
This record from the Alexandria database describes a relaxed Ac2Zn4Ge3Bi crystal. The functional is PBE.

POSCAR file:
```
Ac2Zn4Ge3Bi
1.0
4.788 0.000 0.000
0.000 4.788 0.000
0.000 0.000 10.067
Ac Zn Ge Bi
2 4 3 1
direct
0.000 0.500 0.234
0.500 0.000 0.766
0.000 0.000 0.000
0.000 0.500 0.639
0.500 0.000 0.361
0.500 0.500 0.000
0.000 0.500 0.883
0.500 0.000 0.117
0.500 0.500 0.500
0.000 0.000 0.500
```

## Properties
The formation energy comes out at -0.35 eV/atom. As for the spin magnetization: 0.000 μB/f.u. For the theoretical density, the calculation gives 8.22 g/cm3. As for the space group: P-4m2, No. 115.

=====

(2)
This record from the Alexandria database describes a relaxed CeDy2Hg8 crystal. The functional is PBE.

POSCAR file:
```
CeDy2Hg8
1.0
-2.572 3.684 7.421
2.572 -3.684 7.421
2.572 3.684 -7.421
Ce Dy Hg
1 2 8
direct
0.000 0.000 0.000
0.310 0.310 0.000
0.690 0.690 0.000
0.133 0.847 0.286
0.156 0.656 0.500
0.294 0.500 0.794
0.440 0.153 0.286
0.560 0.847 0.714
0.706 0.500 0.206
0.844 0.344 0.500
0.867 0.153 0.714
```

## Properties
The formation energy comes out at -0.28 eV/atom. As for the spin magnetization: 1.016 μB/f.u. For the theoretical density, the calculation gives 12.22 g/cm3. As for the space group: Immm, No. 71.

=====

(3)
This record from the Alexandria database describes a relaxed CsBiHSe2 crystal. The functional is PBE.

POSCAR file:
```
CsBiHSe2
1.0
3.809 -6.191 0.000
3.809 6.191 0.000
0.000 0.000 7.247
Cs Bi H Se
2 2 2 4
direct
0.250 0.750 0.803
0.750 0.250 0.197
0.250 0.250 0.500
0.750 0.750 0.500
0.000 0.000 0.000
0.500 0.500 0.000
0.070 0.930 0.216
0.430 0.570 0.216
0.570 0.430 0.784
0.930 0.070 0.784
```

## Properties
The calculation puts the final energy at -3.39 eV/atom. As for the spin magnetization: 0.000 μB/f.u. For the theoretical density, the calculation gives 4.87 g/cm3. As for the space group: Cmme, No. 67.

=====

(4)
This record from the Alexandria database describes a relaxed BaTc2Rh crystal. The functional is PBE.

POSCAR file:
```
BaTc2Rh
1.0
3.875 0.000 0.000
0.000 3.875 0.000
0.000 0.000 5.315
Ba Tc Rh
1 2 1
direct
0.000 0.000 0.000
0.000 0.500 0.500
0.500 0.000 0.500
0.500 0.500 0.000
```

## Properties
The formation energy comes out at 1.14 eV/atom. As for the spin magnetization: 0.027 μB/f.u. For the theoretical density, the calculation gives 9.08 g/cm3. As for the space group: P4/mmm, No. 123.

=====

Repeat the second record exactly.
This record from the Alexandria database describes a relaxed CeDy2Hg8 crystal. The functional is PBE.

POSCAR file:
```
CeDy2Hg8
1.0
-2.572 3.684 7.421
2.572 -3.684 7.421
2.572 3.684 -7.421
Ce Dy Hg
1 2 8
direct
0.000 0.000 0.000
0.310 0.310 0.000
0.690 0.690 0.000
0.133 0.847 0.286
0.156 0.656 0.500
0.294 0.500 0.794
0.440 0.153 0.286
0.560 0.847 0.714
0.706 0.500 0.206
0.844 0.344 0.500
0.867 0.153 0.714
```

## Properties
The formation energy comes out at -0.28 eV/atom. As for the spin magnetization: 1.016 μB/f.u. For the theoretical density, the calculation gives 12.22 g/cm3. As for the space group: Immm, No. 71.

=====

> What is the spin magnetization in the first record?

0.000 μB/f.u.

=====

> spin magnetization of number 2 (CeDy2Hg8)?

1.016 μB/f.u.